1.
TeIrPtPb: relaxed, PBE.

For the energy above the most stable polymorph in this dataset, the calculation gives 0.53 eV/f.u. The formation energy without anion corrections comes out at 79 meV/atom.

a b c (Å): 3.9618 3.9003 5.7483
angles (deg): 90.00 110.21 90.00
Space group Pm (No. 6)
Inequivalent atoms, fractional coordinates:
Te (0.0000, 0.0000, 0.0000)
Ir (0.7512, 0.0000, 0.5030)
Pt (0.5655, 0.5000, 0.1247)
Pb (0.2931, 0.5000, 0.5848)



2.
YIrPtPb2: relaxed, PBE.

The calculation puts the formation energy at 0.15 eV per atom.

a b c (Å): 5.1360 5.1360 5.3394
angles (deg): 90.00 90.00 90.00
Space group P4/mmm (No. 123)
Inequivalent atoms, fractional coordinates:
Y (0.0000, 0.0000, 0.0000)
Ir (0.0000, 0.0000, 0.5000)
Pt (0.5000, 0.5000, 0.0000)
Pb (0.0000, 0.5000, 0.5000)



3.
Pu3IrPb: relaxed, PBE.

For the energy above the most stable polymorph in this dataset, the calculation gives 0.35 eV/f.u. The calculation puts the formation energy at -0.06 eV per atom.

a b c (Å): 5.3610 5.3610 5.3610
angles (deg): 90.00 90.00 90.00
Space group Pm-3m (No. 221)
Inequivalent atoms, fractional coordinates:
Pu (0.0000, 0.0000, 0.5000)
Ir (0.0000, 0.0000, 0.0000)
Pb (0.5000, 0.5000, 0.5000)